[1]
Density functional theory data (GGA-PBE) for Te2Mo2WSe2S2 after structural relaxation.

Calculated values
The calculated density comes out at 5.172 Mg/m³. As for the crystal system: trigonal. The value obtained for the energy relative to the lowest polymorph listed for this composition is 21 meV/atom. The calculation puts the uncorrected formation energy at -0.520 eV/atom.

Unit cell a=3.348 b=3.348 c=28.216 alpha=90.00 beta=90.00 gamma=120.00
Atoms (fractional coordinates):
Te1 0.000 0.000 0.000
Te2 0.000 0.000 0.134
Mo1 0.000 0.000 0.810
Mo2 0.333 0.667 0.067
W1 0.000 0.000 0.334
Se1 0.333 0.667 0.274
Se2 0.333 0.667 0.393
S1 0.333 0.667 0.757
S2 0.333 0.667 0.864

***

[2]
Density functional theory data (GGA-PBE) for ErTh2Os after structural relaxation.

Calculated values
The value obtained for the energy relative to the elements is -0.23 eV per atom. The calculated density comes out at 12.172 Mg/m³. As for the crystal system: orthorhombic. The value obtained for the energy relative to the lowest polymorph listed for this composition is 0 meV/atom.

Unit cell a=7.264 b=9.847 c=6.268 alpha=90.00 beta=90.00 gamma=90.00
Atoms (fractional coordinates):
Er1 0.039 0.250 0.148
Er2 0.461 0.750 0.648
Er3 0.539 0.250 0.352
Er4 0.961 0.750 0.852
Th1 0.170 0.062 0.668
Th2 0.170 0.438 0.668
Th3 0.330 0.562 0.168
Th4 0.330 0.938 0.168
Th5 0.670 0.062 0.832
Th6 0.670 0.438 0.832
Th7 0.830 0.562 0.332
Th8 0.830 0.938 0.332
Os1 0.120 0.750 0.414
Os2 0.380 0.250 0.914
Os3 0.620 0.750 0.086
Os4 0.880 0.250 0.586

***

[3]
Density functional theory data (GGA-PBE) for Na8PO3 after structural relaxation.

Calculated values
The calculated density comes out at 2.077 Mg/m³. As for the crystal system: cubic. The calculation puts the uncorrected formation energy at -0.824 eV/atom.

Unit cell a=5.946 b=5.946 c=5.946 alpha=90.00 beta=90.00 gamma=90.00
Atoms (fractional coordinates):
Na1 0.236 0.236 0.236
Na2 0.236 0.236 0.764
Na3 0.236 0.764 0.236
Na4 0.236 0.764 0.764
Na5 0.764 0.236 0.236
Na6 0.764 0.236 0.764
Na7 0.764 0.764 0.236
Na8 0.764 0.764 0.764
P1 0.500 0.500 0.500
O1 0.000 0.000 0.500
O2 0.000 0.500 0.000
O3 0.500 0.000 0.000

***

[4]
Density functional theory data (GGA-PBE) for ZrTcSb2H after structural relaxation.

Calculated values
Its final energy is -0.454 Ry/atom. The calculated density comes out at 8.533 Mg/m³. As for the crystal system: tetragonal.

Unit cell a=4.931 b=4.931 c=3.471 alpha=90.00 beta=90.00 gamma=90.00
Atoms (fractional coordinates):
Zr1 0.000 0.000 0.000
Tc1 0.500 0.500 0.000
Sb1 0.000 0.500 0.500
Sb2 0.500 0.000 0.500
H1 0.500 0.500 0.500

***

[5]
Density functional theory data (GGA-PBE) for YSnPS2 after structural relaxation.

Calculated values
The calculated density comes out at 4.131 Mg/m³. As for the crystal system: tetragonal. The value obtained for the energy relative to the lowest polymorph listed for this composition is 0 meV/atom. The calculation puts the uncorrected formation energy at -0.196 eV/atom.

Unit cell a=4.940 b=4.940 c=4.987 alpha=90.00 beta=90.00 gamma=90.00
Atoms (fractional coordinates):
Y1 0.000 0.000 0.000
Sn1 0.500 0.500 0.500
P1 0.500 0.500 0.000
S1 0.000 0.500 0.500
S2 0.500 0.000 0.500

***

[6]
Density functional theory data (GGA-PBE) for Nd4SmEr2Th after structural relaxation.

Calculated values
The value obtained for the energy relative to the elements is 0.03 eV per atom. The calculated density comes out at 8.013 Mg/m³. As for the crystal system: monoclinic.

Unit cell a=5.089 b=5.120 c=10.291 alpha=90.00 beta=90.01 gamma=90.00
Atoms (fractional coordinates):
Nd1 0.001 0.000 0.252
Nd2 0.498 0.500 0.746
Nd3 0.502 0.500 0.254
Nd4 0.999 0.000 0.748
Sm1 0.000 0.500 0.000
Er1 0.000 0.500 0.500
Er2 0.500 0.000 0.000
Th1 0.500 0.000 0.500

***

[7]
Density functional theory data (GGA-PBE) for CaNi2PdC after structural relaxation.

Calculated values
The value obtained for the energy relative to the elements is -0.07 eV per atom. The calculated density comes out at 6.780 Mg/m³. As for the crystal system: tetragonal.

Unit cell a=3.912 b=3.912 c=4.414 alpha=90.00 beta=90.00 gamma=90.00
Atoms (fractional coordinates):
Ca1 0.000 0.000 0.000
Ni1 0.000 0.500 0.500
Ni2 0.500 0.000 0.500
Pd1 0.500 0.500 0.000
C1 0.500 0.500 0.500

***

[8]
Density functional theory data (GGA-PBE) for Cu5Pd6Pt after structural relaxation.

Calculated values
The value obtained for the energy relative to the elements is -0.09 eV per atom. The calculated density comes out at 11.292 Mg/m³. As for the crystal system: monoclinic. The value obtained for the energy relative to the lowest polymorph listed for this composition is 3 meV/atom.

Unit cell a=6.168 b=6.168 c=7.417 alpha=90.04 beta=90.04 gamma=143.13
Atoms (fractional coordinates):
Cu1 0.000 0.000 0.000
Cu2 0.333 0.667 0.000
Cu3 0.333 0.667 0.500
Cu4 0.667 0.333 0.000
Cu5 0.667 0.333 0.500
Pd1 0.168 0.832 0.244
Pd2 0.168 0.832 0.756
Pd3 0.500 0.500 0.242
Pd4 0.500 0.500 0.758
Pd5 0.832 0.168 0.244
Pd6 0.832 0.168 0.756
Pt1 0.000 0.000 0.500

***

[9]
Density functional theory data (GGA-PBE) for Dy4TmGe4 after structural relaxation.

Calculated values
The value obtained for the energy relative to the elements is -0.58 eV per atom. The calculated density comes out at 7.736 Mg/m³. As for the crystal system: tetragonal.

Unit cell a=9.035 b=9.035 c=5.836 alpha=90.00 beta=90.00 gamma=90.00
Atoms (fractional coordinates):
Dy1 0.072 0.660 0.132
Dy2 0.160 0.928 0.632
Dy3 0.340 0.572 0.632
Dy4 0.428 0.840 0.132
Dy5 0.572 0.160 0.868
Dy6 0.660 0.428 0.368
Dy7 0.840 0.072 0.368
Dy8 0.928 0.340 0.868
Tm1 0.250 0.250 0.250
Tm2 0.750 0.750 0.750
Ge1 0.022 0.622 0.631
Ge2 0.122 0.978 0.131
Ge3 0.378 0.522 0.131
Ge4 0.478 0.878 0.631
Ge5 0.522 0.122 0.369
Ge6 0.622 0.478 0.869
Ge7 0.878 0.022 0.869
Ge8 0.978 0.378 0.369

***

[10]
Density functional theory data (GGA-PBE) for La3Nd4Zn after structural relaxation.

Calculated values
The value obtained for the energy relative to the elements is -0.07 eV per atom. The calculated density comes out at 6.586 Mg/m³. As for the crystal system: tetragonal.

Unit cell a=3.715 b=3.715 c=19.351 alpha=90.00 beta=90.00 gamma=90.00
Atoms (fractional coordinates):
La1 0.000 0.000 0.000
La2 0.000 0.000 0.270
La3 0.000 0.000 0.730
Nd1 0.500 0.500 0.135
Nd2 0.500 0.500 0.406
Nd3 0.500 0.500 0.594
Nd4 0.500 0.500 0.865
Zn1 0.000 0.000 0.500

***

[11]
Density functional theory data (GGA-PBE) for LiErTh2Te4 after structural relaxation.

Calculated values
The calculated density comes out at 8.129 Mg/m³. As for the crystal system: monoclinic. The calculation puts the uncorrected formation energy at -1.128 eV/atom.

Unit cell a=7.227 b=4.162 c=8.150 alpha=90.00 beta=106.82 gamma=90.00
Atoms (fractional coordinates):
Li1 0.000 0.000 0.000
Er1 0.500 0.500 0.000
Th1 0.000 0.500 0.500
Th2 0.500 0.000 0.500
Te1 0.236 0.500 0.226
Te2 0.248 0.000 0.772
Te3 0.752 0.000 0.228
Te4 0.764 0.500 0.774

***

[12]
Density functional theory data (GGA-PBE) for ScZnAg after structural relaxation.

Calculated values
The value obtained for the energy relative to the elements is -0.05 eV per atom. The calculated density comes out at 6.231 Mg/m³. As for the crystal system: trigonal.

Unit cell a=3.187 b=3.187 c=6.613 alpha=90.00 beta=90.00 gamma=120.00
Atoms (fractional coordinates):
Sc1 0.000 0.000 0.000
Zn1 0.667 0.333 0.332
Ag1 0.333 0.667 0.643

***

no.,size of the total moment (μB per cell)
1,0.00
2,0.00
3,1.04
4,0.00
5,0.00
6,0.00
7,0.35
8,0.00
9,0.01
10,0.00
11,0.00
12,0.00